Material: NaTaNF2
Method: DFT, PBE
State: relaxed

```
data_NaTaNF2
_chemical_formula_sum 'Na1 Ta1 N1 F2'
_cell_length_a 4.231
_cell_length_b 4.231
_cell_length_c 4.013
_cell_angle_alpha 90.00
_cell_angle_beta 90.00
_cell_angle_gamma 90.00
_space_group_name_H-M_alt 'P 1'
_space_group_IT_number 1
loop_
_space_group_symop_operation_xyz
'x,y,z'
loop_
_atom_site_label
_atom_site_type_symbol
_atom_site_fract_x
_atom_site_fract_y
_atom_site_fract_z
Na1 Na 0.000 0.000 0.000
Ta1 Ta 0.500 0.500 0.500
N1 N 0.500 0.500 0.000
F1 F 0.000 0.500 0.500
F2 F 0.500 0.000 0.500
```

Output
distance to the lowest polymorph of the same formula: 0 meV per atom
SG: P4/mmm (123)
uncorrected formation energy: -812 kJ/mol of formula units
total magnetization: 0.179 μB/atom

Material: Pu3Pa4C8
Method: DFT, PBE
State: relaxed

```
data_Pu3Pa4C8
_chemical_formula_sum 'Pu3 Pa4 C8'
_cell_length_a 7.096
_cell_length_b 7.096
_cell_length_c 7.110
_cell_angle_alpha 119.59
_cell_angle_beta 119.59
_cell_angle_gamma 90.41
_space_group_name_H-M_alt 'P 1'
_space_group_IT_number 1
loop_
_space_group_symop_operation_xyz
'x,y,z'
loop_
_atom_site_label
_atom_site_type_symbol
_atom_site_fract_x
_atom_site_fract_y
_atom_site_fract_z
Pu1 Pu 0.000 0.000 0.000
Pu2 Pu 0.000 0.500 0.000
Pu3 Pu 0.500 0.000 0.000
Pa1 Pa 0.000 0.000 0.500
Pa2 Pa 0.000 0.500 0.500
Pa3 Pa 0.500 0.000 0.500
Pa4 Pa 0.500 0.500 0.000
C1 C 0.232 0.232 0.961
C2 C 0.232 0.768 0.500
C3 C 0.239 0.239 0.511
C4 C 0.255 0.745 0.000
C5 C 0.745 0.255 0.000
C6 C 0.761 0.761 0.489
C7 C 0.768 0.232 0.500
C8 C 0.768 0.768 0.039
```

Output
SG: C2/m (12)
total magnetization: 0.890 μB/atom

Material: TaZnCr2
Method: DFT, PBE
State: relaxed

```
data_TaZnCr2
_chemical_formula_sum 'Ta1 Zn1 Cr2'
_cell_length_a 4.982
_cell_length_b 4.982
_cell_length_c 4.982
_cell_angle_alpha 143.74
_cell_angle_beta 129.23
_cell_angle_gamma 63.97
_space_group_name_H-M_alt 'P 1'
_space_group_IT_number 1
loop_
_space_group_symop_operation_xyz
'x,y,z'
loop_
_atom_site_label
_atom_site_type_symbol
_atom_site_fract_x
_atom_site_fract_y
_atom_site_fract_z
Ta1 Ta 0.000 0.000 0.000
Zn1 Zn 0.274 0.774 0.500
Cr1 Cr 0.535 0.535 0.000
Cr2 Cr 0.742 0.242 0.500
```

Output
SG: Imm2 (44)
total magnetization: 0.000 μB/atom

Material: Pr2SmDy4Tm2
Method: DFT, PBE
State: relaxed

```
data_Pr2SmDy4Tm2
_chemical_formula_sum 'Pr2 Sm1 Dy4 Tm2'
_cell_length_a 6.025
_cell_length_b 6.627
_cell_length_c 8.607
_cell_angle_alpha 79.95
_cell_angle_beta 70.51
_cell_angle_gamma 65.22
_space_group_name_H-M_alt 'P 1'
_space_group_IT_number 1
loop_
_space_group_symop_operation_xyz
'x,y,z'
loop_
_atom_site_label
_atom_site_type_symbol
_atom_site_fract_x
_atom_site_fract_y
_atom_site_fract_z
Pr1 Pr 0.231 0.327 0.343
Pr2 Pr 0.769 0.673 0.657
Sm1 Sm 0.500 0.000 0.000
Dy1 Dy 0.119 0.128 0.760
Dy2 Dy 0.238 0.577 0.884
Dy3 Dy 0.762 0.423 0.116
Dy4 Dy 0.881 0.872 0.240
Tm1 Tm 0.321 0.770 0.446
Tm2 Tm 0.679 0.230 0.554
```

Output
SG: P-1 (2)
total magnetization: 0.000 μB/atom

E
In order: -6.73 -10.18 -7.95 -4.54
Unit: eV/atom